(1)
Computed, not measured: crystalline Cs2ErGeSe4 at its relaxed geometry at the PBE level of DFT.

Cell lengths 6.6911, 15.0952, 26.4626 Å; angles 90.00, 90.00, 90.00 degrees
Space group Fddd (No. 70, origin choice 2)
One atom of each set of equivalent atoms:
Cs1 0.1250 0.1250 0.3053 (multiplicity 16)
Er1 0.1250 0.1250 0.1250 (multiplicity 8)
Ge1 0.1250 0.1250 0.6250 (multiplicity 8)
Se1 0.1106 0.2769 0.8230 (multiplicity 32)

Values from the calculation:
The calculation puts the final energy at -267.27 eV/cell.

***

(2)
Computed, not measured: crystalline CsErGeSe3 at its relaxed geometry at the PBE level of DFT.

Cell lengths 9.2420, 4.0772, 11.5272 Å; angles 90.00, 112.39, 90.00 degrees
Space group P2_1/m (No. 11)
One atom of each set of equivalent atoms:
Cs1 0.2334 0.2500 0.2762 (multiplicity 2)
Er1 0.3668 0.7500 0.8465 (multiplicity 2)
Ge1 0.1269 0.2500 0.5630 (multiplicity 2)
Se1 0.1270 0.2500 0.7783 (multiplicity 2)
Se2 0.3211 0.7500 0.5844 (multiplicity 2)
Se3 0.4050 0.7500 0.1009 (multiplicity 2)

Values from the calculation:
The calculation puts the final energy at -56.14 eV/cell.

***

(3)
Computed, not measured: crystalline Cs2ErGeTe4 at its relaxed geometry at the PBE level of DFT.

Cell lengths 7.0027, 15.8065, 27.8934 Å; angles 90.00, 90.00, 90.00 degrees
Space group Fddd (No. 70, origin choice 2)
One atom of each set of equivalent atoms:
Cs1 0.1250 0.1250 0.3061 (multiplicity 16)
Er1 0.1250 0.1250 0.1250 (multiplicity 8)
Ge1 0.1250 0.1250 0.6250 (multiplicity 8)
Te1 0.1103 0.2715 0.8202 (multiplicity 32)

Values from the calculation:
The calculation puts the final energy at -240.40 eV/cell.

***

(4)
Computed, not measured: crystalline Cs2ErHI6 at its relaxed geometry at the PBE level of DFT.

Cell lengths 9.7395, 13.5686, 8.1357 Å; angles 90.00, 123.43, 90.00 degrees
Space group C2/m (No. 12)
One atom of each set of equivalent atoms:
Cs1 0.0000 0.2295 0.0000 (multiplicity 4)
Er1 0.0000 0.5000 0.5000 (multiplicity 2)
H1 0.0000 0.0000 0.5000 (multiplicity 2)
I1 0.0000 0.2802 0.5000 (multiplicity 4)
I2 0.1361 0.0000 0.3951 (multiplicity 4)
I3 0.1703 0.5000 0.9341 (multiplicity 4)

Values from the calculation:
The calculation puts the final energy at -60.69 eV/cell.

***

(5)
Computed, not measured: crystalline Cs3Er2HfS6 at its relaxed geometry at the PBE level of DFT.

Cell lengths 6.8714, 11.9013, 8.3787 Å; angles 90.00, 105.87, 90.00 degrees
Space group C2/m (No. 12)
One atom of each set of equivalent atoms:
Cs1 0.0000 0.0000 0.0000 (multiplicity 2)
Cs2 0.0000 0.3312 0.0000 (multiplicity 4)
Er1 0.0000 0.1665 0.5000 (multiplicity 4)
Hf1 0.0000 0.5000 0.5000 (multiplicity 2)
S1 0.2187 0.3409 0.6786 (multiplicity 8)
S2 0.2419 0.0000 0.6797 (multiplicity 4)

Values from the calculation:
The calculation puts the final energy at -132.87 eV/cell.

***

(6)
Computed, not measured: crystalline Cs4Er3HfTe8 at its relaxed geometry at the PBE level of DFT.

Cell lengths 8.8872, 8.8872, 26.7804 Å; angles 90.00, 90.00, 120.00 degrees
Space group R-3m (No. 166, hexagonal axes)
One atom of each set of equivalent atoms:
Cs1 0.0000 0.0000 0.0000 (multiplicity 3)
Cs2 0.0000 0.5000 0.0000 (multiplicity 9)
Er1 0.0000 0.5000 0.5000 (multiplicity 9)
Hf1 0.0000 0.0000 0.5000 (multiplicity 3)
Te1 0.0000 0.0000 0.2302 (multiplicity 6)
Te2 0.0127 0.5064 0.2287 (multiplicity 18)

Values from the calculation:
The calculation puts the final energy at -215.40 eV/cell.